Entry 1:
The following is a SCAN calculation of Y9Lu3Al20O48 at its PBEsol-relaxed geometry, from Alexandria via LeMat-Bulk.

Cell: 16.900 11.952 11.945 Å, 90.00 134.95 90.00°
Space group C2 (No. 5)
Inequivalent atoms, fractional coordinates:
1 Y 0.000 0.000 0.000 (multiplicity 2)
2 Y 0.000 0.250 0.500 (multiplicity 2)
3 Y 0.000 0.500 0.000 (multiplicity 2)
4 Y 0.125 0.125 0.875 (multiplicity 4)
5 Y 0.125 0.625 0.376 (multiplicity 4)
6 Y 0.250 0.375 0.875 (multiplicity 4)
7 Lu 0.000 0.750 0.500 (multiplicity 2)
8 Lu 0.249 0.875 0.625 (multiplicity 4)
9 Al 0.000 0.250 0.000 (multiplicity 2)
10 Al 0.000 0.501 0.500 (multiplicity 2)
11 Al 0.000 0.750 0.000 (multiplicity 2)
12 Al 0.000 0.999 0.500 (multiplicity 2)
13 Al 0.001 0.375 0.250 (multiplicity 4)
14 Al 0.001 0.875 0.252 (multiplicity 4)
15 Al 0.125 0.125 0.375 (multiplicity 4)
16 Al 0.125 0.625 0.874 (multiplicity 4)
17 Al 0.249 0.875 0.873 (multiplicity 4)
18 Al 0.250 0.124 0.749 (multiplicity 4)
19 Al 0.250 0.126 0.251 (multiplicity 4)
20 Al 0.250 0.375 0.624 (multiplicity 4)
21 O 0.030 0.024 0.229 (multiplicity 4)
22 O 0.030 0.226 0.332 (multiplicity 4)
23 O 0.030 0.524 0.833 (multiplicity 4)
24 O 0.031 0.726 0.726 (multiplicity 4)
25 O 0.051 0.406 0.652 (multiplicity 4)
26 O 0.051 0.845 0.949 (multiplicity 4)
27 O 0.053 0.903 0.454 (multiplicity 4)
28 O 0.054 0.345 0.155 (multiplicity 4)
29 O 0.100 0.597 0.549 (multiplicity 4)
30 O 0.101 0.094 0.652 (multiplicity 4)
31 O 0.101 0.155 0.050 (multiplicity 4)
32 O 0.101 0.655 0.154 (multiplicity 4)
33 O 0.149 0.324 0.930 (multiplicity 4)
34 O 0.149 0.927 0.868 (multiplicity 4)
35 O 0.150 0.426 0.427 (multiplicity 4)
36 O 0.150 0.824 0.373 (multiplicity 4)
37 O 0.197 0.775 0.724 (multiplicity 4)
38 O 0.198 0.274 0.667 (multiplicity 4)
39 O 0.199 0.475 0.172 (multiplicity 4)
40 O 0.199 0.976 0.230 (multiplicity 4)
41 O 0.219 0.071 0.570 (multiplicity 4)
42 O 0.220 0.179 0.369 (multiplicity 4)
43 O 0.220 0.574 0.868 (multiplicity 4)
44 O 0.220 0.676 0.071 (multiplicity 4)

Properties
Total energy = -14.531 eV per atom

Entry 2:
The following is a SCAN calculation of KLa2Al at its PBEsol-relaxed geometry, from Alexandria via LeMat-Bulk.

Cell: 3.562 6.065 12.409 Å, 90.00 90.00 90.00°
Space group Immm (No. 71)
Inequivalent atoms, fractional coordinates:
1 K 0.000 0.000 0.000 (multiplicity 2)
2 La 0.000 0.500 0.211 (multiplicity 4)
3 Al 0.000 0.000 0.500 (multiplicity 2)

Properties
Total energy = -25.404 eV per atom

Entry 3:
The following is a SCAN calculation of CrRh5 at its PBEsol-relaxed geometry, from Alexandria via LeMat-Bulk.

Cell: 4.6228 4.6228 4.2331 Å, 90.00 90.00 120.00°
Space group P-62m (No. 189)
Inequivalent atoms, fractional coordinates:
1 Cr 0.0000 0.0000 0.0000 (multiplicity 1)
2 Rh 0.0000 0.3288 0.5000 (multiplicity 3)
3 Rh 0.3333 0.6667 0.0000 (multiplicity 2)

Properties
Total energy = -31.264 eV per atom

Entry 4:
The following is a SCAN calculation of MgTlIn2 at its PBEsol-relaxed geometry, from Alexandria via LeMat-Bulk.

Cell: 3.720 5.264 10.264 Å, 90.00 90.00 90.00°
Space group Imm2 (No. 44)
Inequivalent atoms, fractional coordinates:
1 Mg 0.000 0.000 0.000 (multiplicity 2)
2 Tl 0.000 0.500 0.747 (multiplicity 2)
3 In 0.000 0.000 0.505 (multiplicity 2)
4 In 0.000 0.500 0.257 (multiplicity 2)

Properties
Total energy = -36.019 eV per atom

Entry 5:
The following is a SCAN calculation of SrTe2AsPd at its PBEsol-relaxed geometry, from Alexandria via LeMat-Bulk.

Cell: 5.885 5.885 5.477 Å, 90.00 90.00 90.00°
Space group P4/mmm (No. 123)
Inequivalent atoms, fractional coordinates:
1 Sr 0.000 0.000 0.000 (multiplicity 1)
2 Te 0.000 0.500 0.000 (multiplicity 2)
3 As 0.000 0.000 0.500 (multiplicity 1)
4 Pd 0.500 0.500 0.500 (multiplicity 1)

Properties
Total energy = -28.995 eV per atom

Entry 6:
The following is a SCAN calculation of CsSeBr3 at its PBEsol-relaxed geometry, from Alexandria via LeMat-Bulk.

Cell: 5.446 5.446 5.446 Å, 90.00 90.00 90.00°
Space group Pm-3m (No. 221)
Inequivalent atoms, fractional coordinates:
1 Cs 0.000 0.000 0.000 (multiplicity 1)
2 Se 0.500 0.500 0.500 (multiplicity 1)
3 Br 0.000 0.500 0.500 (multiplicity 3)

Properties
Total energy = -24.112 eV per atom